Record 1
Below is crystalline KRbCd2As2 at its relaxed geometry, with properties calculated at the PBE level.

Unit cell a=4.630 b=4.630 c=8.207 alpha=90.00 beta=90.00 gamma=90.00
Fractional positions:
K 0.000 0.000 0.000
Rb 0.500 0.500 0.693
Cd 0.000 0.500 0.341
Cd 0.500 0.000 0.341
As 0.000 0.000 0.542
As 0.500 0.500 0.138

Properties
The space-group type is P4mm. As for the crystal system: tetragonal. Its calculated total energy is -2.62 eV/atom.

Record 2
Below is crystalline KZn2Cd2As3 at its relaxed geometry, with properties calculated at the PBE level.

Unit cell a=12.844 b=12.844 c=12.844 alpha=19.17 beta=19.17 gamma=19.17
Fractional positions:
K 0.000 0.000 0.000
Zn 0.406 0.406 0.406
Zn 0.594 0.594 0.594
Cd 0.200 0.200 0.200
Cd 0.800 0.800 0.800
As 0.271 0.271 0.271
As 0.500 0.500 0.500
As 0.729 0.729 0.729

Properties
The space-group type is R-3m. Its energy above the lowest structure with this stoichiometry is 0 meV/atom. As for the crystal system: trigonal.

Record 3
Below is crystalline KZn2Cd2As3 at its relaxed geometry, with properties calculated at the PBE level.

Unit cell a=11.886 b=11.886 c=11.886 alpha=21.62 beta=21.62 gamma=21.62
Fractional positions:
K 0.000 0.000 0.000
Zn 0.197 0.197 0.197
Zn 0.803 0.803 0.803
Cd 0.416 0.416 0.416
Cd 0.584 0.584 0.584
As 0.269 0.269 0.269
As 0.500 0.500 0.500
As 0.731 0.731 0.731

Properties
The space-group type is R-3m. Its energy above the lowest structure with this stoichiometry is 42 meV/atom. As for the crystal system: trigonal.

Record 4
Below is crystalline La2Cd3As at its relaxed geometry, with properties calculated at the PBE level.

Unit cell a=5.674 b=9.843 c=5.816 alpha=90.00 beta=90.00 gamma=90.00
Fractional positions:
La 0.000 0.166 0.000
La 0.000 0.834 0.000
La 0.500 0.334 0.000
La 0.500 0.666 0.000
Cd 0.000 0.000 0.500
Cd 0.250 0.250 0.500
Cd 0.250 0.750 0.500
Cd 0.500 0.500 0.500
Cd 0.750 0.250 0.500
Cd 0.750 0.750 0.500
As 0.000 0.500 0.000
As 0.500 0.000 0.000

Properties
The space-group type is Cmmm. As for the crystal system: orthorhombic. Its calculated total energy is -3.05 eV/atom. Its magnetic moment is 0.01 μB per formula unit.

Record 5
Below is crystalline La2CdAs2PdO2 at its relaxed geometry, with properties calculated at the PBE level.

Unit cell a=4.159 b=4.159 c=9.026 alpha=90.00 beta=90.00 gamma=90.00
Fractional positions:
La 0.000 0.500 0.131
La 0.500 0.000 0.869
Cd 0.500 0.500 0.500
As 0.000 0.500 0.685
As 0.500 0.000 0.315
Pd 0.000 0.000 0.500
O 0.000 0.000 0.000
O 0.500 0.500 0.000

Properties
The space-group type is P-4m2. As for the crystal system: tetragonal. Its calculated total energy is -6.20 eV/atom. Its magnetic moment is 0.00 μB per formula unit.

Record 6
Below is crystalline LaPrCd2As2O2 at its relaxed geometry, with properties calculated at the PBE level.

Unit cell a=4.218 b=4.218 c=9.219 alpha=90.00 beta=90.00 gamma=90.00
Fractional positions:
La 0.000 0.000 0.000
Pr 0.500 0.500 0.249
Cd 0.000 0.500 0.625
Cd 0.500 0.000 0.625
As 0.000 0.000 0.429
As 0.500 0.500 0.820
O 0.000 0.500 0.125
O 0.500 0.000 0.125

Properties
The space-group type is P4mm. As for the crystal system: tetragonal. Its calculated total energy is -5.60 eV/atom. Its magnetic moment is 0.00 μB per formula unit.

Record 7
Below is crystalline LiCdAs2 at its relaxed geometry, with properties calculated at the PBE level.

Unit cell a=6.761 b=6.761 c=6.761 alpha=90.00 beta=90.00 gamma=90.00
Fractional positions:
Li 0.000 0.000 0.000
Li 0.000 0.500 0.500
Li 0.500 0.000 0.500
Li 0.500 0.500 0.000
Cd 0.250 0.250 0.250
Cd 0.250 0.750 0.750
Cd 0.750 0.250 0.750
Cd 0.750 0.750 0.250
As 0.000 0.000 0.500
As 0.000 0.500 0.000
As 0.250 0.250 0.750
As 0.250 0.750 0.250
As 0.500 0.000 0.000
As 0.500 0.500 0.500
As 0.750 0.250 0.250
As 0.750 0.750 0.750

Properties
The space-group type is F-43m. As for the crystal system: cubic. Its calculated total energy is -2.99 eV/atom.

Record 8
Below is crystalline LiCdNiAs at its relaxed geometry, with properties calculated at the PBE level.

Unit cell a=6.370 b=6.370 c=6.370 alpha=90.00 beta=90.00 gamma=90.00
Fractional positions:
Li 0.000 0.000 0.000
Li 0.000 0.500 0.500
Li 0.500 0.000 0.500
Li 0.500 0.500 0.000
Cd 0.000 0.000 0.500
Cd 0.000 0.500 0.000
Cd 0.500 0.000 0.000
Cd 0.500 0.500 0.500
Ni 0.250 0.250 0.250
Ni 0.250 0.750 0.750
Ni 0.750 0.250 0.750
Ni 0.750 0.750 0.250
As 0.250 0.250 0.750
As 0.250 0.750 0.250
As 0.750 0.250 0.250
As 0.750 0.750 0.750

Properties
The space-group type is F-43m. Its energy above the lowest structure with this stoichiometry is 227 meV/atom. As for the crystal system: cubic. Its magnetic moment is 0.00 μB per formula unit.

Record 9
Below is crystalline LiCdNiAs at its relaxed geometry, with properties calculated at the PBE level.

Unit cell a=6.193 b=6.193 c=6.193 alpha=90.00 beta=90.00 gamma=90.00
Fractional positions:
Li 0.000 0.000 0.000
Li 0.000 0.500 0.500
Li 0.500 0.000 0.500
Li 0.500 0.500 0.000
Cd 0.250 0.250 0.750
Cd 0.250 0.750 0.250
Cd 0.750 0.250 0.250
Cd 0.750 0.750 0.750
Ni 0.000 0.000 0.500
Ni 0.000 0.500 0.000
Ni 0.500 0.000 0.000
Ni 0.500 0.500 0.500
As 0.250 0.250 0.250
As 0.250 0.750 0.750
As 0.750 0.250 0.750
As 0.750 0.750 0.250

Properties
The space-group type is F-43m. Its energy above the lowest structure with this stoichiometry is 0 meV/atom. As for the crystal system: cubic. Its magnetic moment is 0.01 μB per formula unit.

Record 10
Below is crystalline LiCdAsO4 at its relaxed geometry, with properties calculated at the PBE level.

Unit cell a=5.355 b=5.355 c=6.446 alpha=90.00 beta=90.00 gamma=112.99
Fractional positions:
Li 0.159 0.841 0.750
Li 0.841 0.159 0.250
Cd 0.500 0.500 0.000
Cd 0.500 0.500 0.500
As 0.144 0.856 0.250
As 0.856 0.144 0.750
O 0.207 0.240 0.750
O 0.240 0.207 0.250
O 0.246 0.754 0.028
O 0.246 0.754 0.472
O 0.754 0.246 0.528
O 0.754 0.246 0.972
O 0.760 0.793 0.750
O 0.793 0.760 0.250

Properties
The space-group type is Cmcm. As for the crystal system: orthorhombic. Its calculated total energy is -5.37 eV/atom.

Record 11
Below is crystalline Li4CdAsPt2 at its relaxed geometry, with properties calculated at the PBE level.

Unit cell a=4.397 b=4.397 c=6.122 alpha=90.00 beta=90.00 gamma=90.00
Fractional positions:
Li 0.000 0.000 0.000
Li 0.000 0.500 0.744
Li 0.500 0.000 0.256
Li 0.500 0.500 0.500
Cd 0.500 0.500 0.000
As 0.000 0.000 0.500
Pt 0.000 0.500 0.284
Pt 0.500 0.000 0.716

Properties
The space-group type is P-4m2. As for the crystal system: tetragonal. Its calculated total energy is -3.73 eV/atom. Its magnetic moment is 0.01 μB per formula unit.

Record 12
Below is crystalline Li2Cd2SbAs at its relaxed geometry, with properties calculated at the PBE level.

Unit cell a=11.169 b=4.629 c=11.228 alpha=90.00 beta=110.66 gamma=90.00
Fractional positions:
Li 0.000 0.000 0.000
Li 0.085 0.500 0.344
Li 0.207 0.000 0.725
Li 0.343 0.500 0.150
Li 0.487 0.000 0.532
Li 0.612 0.500 0.908
Li 0.719 0.000 0.284
Li 0.848 0.500 0.665
Cd 0.080 0.500 0.607
Cd 0.251 0.000 0.001
Cd 0.352 0.500 0.401
Cd 0.491 0.000 0.785
Cd 0.603 0.500 0.148
Cd 0.743 0.000 0.539
Cd 0.856 0.500 0.907
Cd 0.956 0.000 0.246
Sb 0.105 0.500 0.878
Sb 0.223 0.000 0.256
Sb 0.354 0.500 0.653
Sb 0.608 0.500 0.404
As 0.497 0.000 0.028
As 0.738 0.000 0.780
As 0.844 0.500 0.140
As 0.969 0.000 0.498

Properties
The space-group type is Pm. As for the crystal system: monoclinic. Its calculated total energy is -2.72 eV/atom.